Entry 1:
GdSnIr: optimized geometry, PBE.

- DFT formation energy (eV/f.u.) = -1.93
- DOS at the Fermi energy (states/eV/f.u.) = 1.91
- calculated volume (Å³ per cell) = 66

Cell: 4.6892 4.6892 3.4411 Å, 90.00 90.00 120.00°
With the nearest neighbours (Å) after each atom.
Space group P-6m2 (No. 187)
Unique sites:
1 Gd 0.0000 0.0000 0.0000 x1  6 Sn 3.21, 6 Ir 3.21, 2 Gd 3.44
2 Sn 0.6667 0.3333 0.5000 x1  3 Ir 2.71
3 Ir 0.3333 0.6667 0.5000 x1  3 Sn 2.71

Entry 2:
PmDy4Ho3: optimized geometry, PBE.

- relative energy among the computed polymorphs (meV per atom) = 209
- DFT formation energy (eV/f.u.) = 1.75
- DOS at the Fermi energy (states/eV/f.u.) = 13.18
- calculated volume (Å³ per cell) = 521

Cell: 5.6355 26.0466 3.5471 Å, 90.00 90.00 90.00°
With the nearest neighbours (Å) after each atom.
Space group Cmmm (No. 65)
Unique sites:
1 Pm 0.0000 0.0000 0.0000 x2  4 Dy 3.26, 4 Ho 3.33, 2 Pm 3.55
2 Dy 0.0000 0.1048 0.5000 x4  1 Dy 3.10, 2 Pm 3.26
3 Dy 0.0000 0.2239 0.5000 x4  3 Dy 3.10-3.13
4 Ho 0.0000 0.3445 0.0000 x4  2 Ho 3.55, 10 Dy 3.58-3.78
5 Ho 0.0000 0.5000 0.5000 x2  4 Pm 3.33, 2 Ho 3.55

Entry 3:
ZnHO2: optimized geometry, PBE.

- DOS at the Fermi energy (states/eV/f.u.) = 1.75
- E (eV per atom) = -3.36
- calculated volume (Å³ per cell) = 129

Cell: 5.0536 5.0536 5.0536 Å, 90.00 90.00 90.00°
With the nearest neighbours (Å) after each atom.
Space group Fm-3m (No. 225)
Unique sites:
1 Zn 0.0000 0.0000 0.0000 x4  8 O 2.19
2 H 0.0000 0.0000 0.5000 x4  8 O 2.19
3 O 0.2500 0.2500 0.2500 x8  4 H 2.19, 4 Zn 2.19

Entry 4:
Na3Y2HfSe6: optimized geometry, PBE.

- DOS at the Fermi energy (states/eV/f.u.) = 4.06
- calculated volume (Å³ per cell) = 596
- formation energy without anion corrections (meV/atom) = -1538

Cell: 6.9818 12.0964 7.4372 Å, 90.00 108.33 90.00°
With the nearest neighbours (Å) after each atom.
Space group C2/m (No. 12)
Unique sites:
1 Na 0.0000 0.0000 0.0000 x2  6 Se 2.97-3.11
2 Na 0.0000 0.3300 0.0000 x4  6 Se 2.98-3.07
3 Y 0.0000 0.1663 0.5000 x4  6 Se 2.88
4 Hf 0.0000 0.5000 0.5000 x2  6 Se 2.74
5 Se 0.2349 0.3413 0.7283 x8  1 Hf 2.74, 2 Y 2.88, 2 Na 2.97-2.98
6 Se 0.2406 0.5000 0.2722 x4  1 Hf 2.74, 2 Y 2.88, 2 Na 3.00

Entry 5:
ScCo2HPt: optimized geometry, PBE.

- relative energy among the computed polymorphs (meV per atom) = 0
- DOS at the Fermi energy (states/eV/f.u.) = 4.05
- calculated volume (Å³ per cell) = 57

Cell: 3.7560 3.7560 4.0658 Å, 90.00 90.00 90.00°
With the nearest neighbours (Å) after each atom.
Space group P4/mmm (No. 123)
Unique sites:
1 Sc 0.0000 0.0000 0.0000 x1  2 H 2.03
2 Co 0.0000 0.5000 0.5000 x2  2 H 1.88
3 H 0.0000 0.0000 0.5000 x1  4 Co 1.88, 2 Sc 2.03
4 Pt 0.5000 0.5000 0.0000 x1  4 Sc 2.66, 8 Co 2.77

Entry 6:
La2DyGe: optimized geometry, PBE.

- relative energy among the computed polymorphs (meV per atom) = 0
- DFT formation energy (eV/f.u.) = -1.43
- DOS at the Fermi energy (states/eV/f.u.) = 4.78
- calculated volume (Å³ per cell) = 112

Cell: 4.7560 4.7560 4.9411 Å, 90.00 90.00 90.00°
With the nearest neighbours (Å) after each atom.
Space group P4/mmm (No. 123)
Unique sites:
1 La 0.0000 0.5000 0.0000 x2  4 La 3.36, 4 Ge 3.43, 4 Dy 3.43
2 Dy 0.0000 0.0000 0.5000 x1  4 Ge 3.36, 8 La 3.43
3 Ge 0.5000 0.5000 0.5000 x1  4 Dy 3.36, 8 La 3.43

Entry 7:
La3PrPb2: optimized geometry, PBE.

- relative energy among the computed polymorphs (meV per atom) = 264
- DFT formation energy (eV/f.u.) = -1.15
- DOS at the Fermi energy (states/eV/f.u.) = 9.65
- calculated volume (Å³ per cell) = 185

Cell: 3.4442 5.5272 9.7116 Å, 90.00 90.00 90.00°
With the nearest neighbours (Å) after each atom.
Space group Pmm2 (No. 25)
Unique sites:
1 La 0.0000 0.0000 0.0000 x1  5 La 3.12-3.44
2 La 0.0000 0.0000 0.3213 x1  3 La 3.12-3.44, 2 Pr 3.27
3 La 0.0000 0.5000 0.8311 x1  1 Pr 3.21, 4 La 3.21-3.44
4 Pr 0.0000 0.5000 0.5007 x1  3 La 3.21-3.27, 2 Pr 3.44
5 Pb 0.5000 0.0000 0.6609 x1  2 Pb 3.44, 4 Pr 3.61, 8 La 3.65-3.72
6 Pb 0.5000 0.5000 0.1650 x1  2 Pb 3.44, 10 La 3.59-3.67, 2 Pr 3.69

Entry 8:
CeMgTc4: optimized geometry, PBE.

- DFT formation energy (eV/f.u.) = 0.56
- DOS at the Fermi energy (states/eV/f.u.) = 10.22
- calculated volume (Å³ per cell) = 431

Cell: 7.5540 7.5540 7.5540 Å, 90.00 90.00 90.00°
With the nearest neighbours (Å) after each atom.
Space group F-43m (No. 216)
Unique sites:
1 Ce 0.0000 0.0000 0.0000 x4  12 Tc 3.13, 4 Mg 3.27
2 Mg 0.2500 0.2500 0.7500 x4  12 Tc 3.13, 4 Ce 3.27
3 Tc 0.1244 0.1244 0.3756 x16  6 Tc 2.66-2.68